(1)
A relaxed structure of KNpCoCl6. Source: Alexandria via LeMat-Bulk, functional PBE.

Calculated density = 3.34 g cm⁻³
Spin magnetization = 6.0 Bohr magnetons per cell
Formation energy without anion corrections = -135.4 kJ/mol of atoms
DOS at the Fermi energy = 1.63 states/eV/atom

Lattice parameters (Å, degrees): 6.6266 6.6266 7.1622 90.00 90.00 120.00
Space group P312 (No. 149)
One atom of each set of equivalent atoms:
K (0.0000, 0.0000, 0.0000)
Np (0.6667, 0.3333, 0.5000)
Co (0.3333, 0.6667, 0.5000)
Cl (0.0211, 0.3731, 0.7070)

---

(2)
A relaxed structure of Ba2LiMgBr. Source: Alexandria via LeMat-Bulk, functional PBE.

Calculated density = 3.13 g cm⁻³
Spin magnetization = 0.0 Bohr magnetons per cell
Formation energy without anion corrections = -49.2 kJ/mol of atoms
DOS at the Fermi energy = 0.77 states/eV/atom

Lattice parameters (Å, degrees): 6.526 6.526 4.803 90.00 90.00 90.00
Space group P4/mmm (No. 123)
One atom of each set of equivalent atoms:
Ba (0.000, 0.500, 0.000)
Li (0.000, 0.000, 0.500)
Mg (0.500, 0.500, 0.500)
Br (0.000, 0.000, 0.000)

---

(3)
A relaxed structure of AcLa2Re2N6. Source: Alexandria via LeMat-Bulk, functional PBE.

Calculated density = 8.18 g cm⁻³
Spin magnetization = 0.0 Bohr magnetons per cell
Formation energy without anion corrections = -68.5 kJ/mol of atoms
DOS at the Fermi energy = 0.40 states/eV/atom

Lattice parameters (Å, degrees): 5.9152 5.9152 19.3250 90.00 90.00 120.00
Space group R-3m (No. 166, hexagonal axes)
One atom of each set of equivalent atoms:
Ac (0.0000, 0.0000, 0.0000)
La (0.0000, 0.0000, 0.2060)
Re (0.0000, 0.0000, 0.4103)
N (0.0061, 0.5030, 0.7690)

---

(4)
A relaxed structure of LaZn4Cu2Ag. Source: Alexandria via LeMat-Bulk, functional PBE.

Calculated density = 7.30 g cm⁻³
Energy of formation from the pure elements = -117 meV per atom
Spin magnetization = 0.0 Bohr magnetons per cell
DOS at the Fermi energy = 0.52 states/eV/atom

Lattice parameters (Å, degrees): 4.2582 4.2582 27.6128 90.00 90.00 120.00
Space group R-3m (No. 166, hexagonal axes)
One atom of each set of equivalent atoms:
La (0.0000, 0.0000, 0.0000)
Zn (0.0000, 0.0000, 0.1247)
Zn (0.0000, 0.0000, 0.4045)
Cu (0.0000, 0.0000, 0.2398)
Ag (0.0000, 0.0000, 0.5000)

---

(5)
A relaxed structure of PmSm2BiC. Source: Alexandria via LeMat-Bulk, functional PBE.

Calculated density = 8.53 g cm⁻³
Energy of formation from the pure elements = -478 meV per atom
Spin magnetization = 0.0 Bohr magnetons per cell
DOS at the Fermi energy = 0.63 states/eV/atom

Lattice parameters (Å, degrees): 5.051 5.051 5.087 90.00 90.00 90.00
Space group P4/mmm (No. 123)
One atom of each set of equivalent atoms:
Pm (0.000, 0.000, 0.000)
Sm (0.000, 0.500, 0.500)
Bi (0.500, 0.500, 0.000)
C (0.000, 0.000, 0.500)

---

(6)
A relaxed structure of PbO2F. Source: Alexandria via LeMat-Bulk, functional PBE.

Energy above the most stable polymorph in this dataset = 0.0 meV/atom
Calculated density = 6.97 g cm⁻³
Spin magnetization = 2.3 Bohr magnetons per cell
Formation energy without anion corrections = -40.0 kJ/mol of atoms
DOS at the Fermi energy = 0.44 states/eV/atom

Lattice parameters (Å, degrees): 3.4421 3.4421 17.9965 90.00 90.00 120.00
Space group R-3m (No. 166, hexagonal axes)
One atom of each set of equivalent atoms:
Pb (0.0000, 0.0000, 0.0000)
O (0.0000, 0.0000, 0.3891)
F (0.0000, 0.0000, 0.5000)

---

(7)
A relaxed structure of Pr3Y4Tm. Source: Alexandria via LeMat-Bulk, functional PBE.

Energy above the most stable polymorph in this dataset = 126.1 meV/atom
Calculated density = 5.79 g cm⁻³
Energy of formation from the pure elements = 128 meV per atom
Spin magnetization = 0.0 Bohr magnetons per cell
DOS at the Fermi energy = 1.54 states/eV/atom

Lattice parameters (Å, degrees): 3.511 11.781 13.131 90.00 90.00 90.00
Space group Immm (No. 71)
One atom of each set of equivalent atoms:
Pr (0.000, 0.000, 0.000)
Pr (0.000, 0.500, 0.243)
Y (0.000, 0.245, 0.366)
Tm (0.000, 0.000, 0.500)

---

(8)
A relaxed structure of TbFeAs. Source: Alexandria via LeMat-Bulk, functional PBE.

Calculated density = 7.91 g cm⁻³
Energy of formation from the pure elements = -379 meV per atom
Spin magnetization = 6.7 Bohr magnetons per cell
DOS at the Fermi energy = 0.68 states/eV/atom

Lattice parameters (Å, degrees): 7.051 3.831 9.205 90.00 102.05 90.00
Space group C2/m (No. 12)
One atom of each set of equivalent atoms:
Tb (0.206, 0.000, 0.165)
Fe (0.141, 0.500, 0.448)
As (0.069, 0.000, 0.654)

---

(9)
A relaxed structure of CoRh2. Source: Alexandria via LeMat-Bulk, functional PBE.

Calculated density = 10.73 g cm⁻³
Energy of formation from the pure elements = 236 meV per atom
Spin magnetization = 9.9 Bohr magnetons per cell
DOS at the Fermi energy = 1.61 states/eV/atom

Lattice parameters (Å, degrees): 2.709 4.556 13.281 90.00 90.00 90.00
Space group Cmmm (No. 65)
One atom of each set of equivalent atoms:
Co (0.000, 0.000, 0.163)
Rh (0.000, 0.000, 0.500)
Rh (0.000, 0.500, 0.000)
Rh (0.000, 0.500, 0.325)

---

(10)
A relaxed structure of AcRuCl. Source: Alexandria via LeMat-Bulk, functional PBE.

Calculated density = 6.64 g cm⁻³
Spin magnetization = 0.0 Bohr magnetons per cell
Formation energy without anion corrections = -108.8 kJ/mol of atoms
DOS at the Fermi energy = 0.78 states/eV/atom

Lattice parameters (Å, degrees): 4.3425 4.3425 33.3809 90.00 90.00 120.00
Space group R-3m (No. 166, hexagonal axes)
One atom of each set of equivalent atoms:
Ac (0.0000, 0.0000, 0.0647)
Ru (0.0000, 0.0000, 0.3356)
Cl (0.0000, 0.0000, 0.2152)

---

(11)
A relaxed structure of BeNbCu. Source: Alexandria via LeMat-Bulk, functional PBE.

Energy above the most stable polymorph in this dataset = 108.4 meV/atom
Calculated density = 7.06 g cm⁻³
Energy of formation from the pure elements = 26 meV per atom
Spin magnetization = 0.0 Bohr magnetons per cell
DOS at the Fermi energy = 0.45 states/eV/atom

Lattice parameters (Å, degrees): 2.728 5.053 6.155 107.32 90.35 105.28
Space group P-1 (No. 2)
One atom of each set of equivalent atoms:
Be (0.028, 0.057, 0.224)
Nb (0.341, 0.691, 0.398)
Cu (0.356, 0.706, 0.954)

---

(12)
A relaxed structure of Rb4Nd3ThSe8. Source: Alexandria via LeMat-Bulk, functional PBE.

Calculated density = 5.15 g cm⁻³
Spin magnetization = 0.0 Bohr magnetons per cell
Formation energy without anion corrections = -162.6 kJ/mol of atoms
DOS at the Fermi energy = 0.31 states/eV/atom

Lattice parameters (Å, degrees): 8.7056 8.7056 24.1556 90.00 90.00 120.00
Space group R-3m (No. 166, hexagonal axes)
One atom of each set of equivalent atoms:
Rb (0.0000, 0.0000, 0.0000)
Rb (0.0000, 0.5000, 0.0000)
Nd (0.0000, 0.5000, 0.5000)
Th (0.0000, 0.0000, 0.5000)
Se (0.0000, 0.0000, 0.2344)
Se (0.0059, 0.5030, 0.2341)

---

Question: Which of these has the lowest DOS at the Fermi energy?
Answer: Rb4Nd3ThSe8

---

Question: Look up the calculated density of the tenth one.
Answer: 6.64 g cm⁻³